1.
# Sm4Pu3ThS8

A relaxed structure of Sm4Pu3ThS8 (PBE, Alexandria).

Structure (POSCAR):
```
Sm4Pu3ThS8
1.0
3.987 2.302 6.540
-3.987 2.302 6.540
0.000 -4.604 6.540
Sm Pu Th S
4 3 1 8
direct
0.000 0.000 0.000
0.000 0.500 0.500
0.500 0.000 0.500
0.500 0.500 0.000
0.000 0.000 0.500
0.000 0.500 0.000
0.500 0.000 0.000
0.500 0.500 0.500
0.245 0.751 0.751
0.248 0.248 0.248
0.249 0.249 0.755
0.249 0.755 0.249
0.751 0.245 0.751
0.751 0.751 0.245
0.752 0.752 0.752
0.755 0.249 0.249
```

Results
uncorrected formation energy = -1.9187 eV per atom
crystal system = trigonal

***

2.
# TlMoSe2

A relaxed structure of TlMoSe2 (PBE, Alexandria).

Structure (POSCAR):
```
TlMoSe2
1.0
3.849 0.000 0.000
0.000 3.942 0.000
0.000 0.000 7.233
Tl Mo Se
1 1 2
direct
0.000 0.000 0.000
0.000 0.500 0.500
0.500 0.000 0.500
0.500 0.500 0.000
```

Results
uncorrected formation energy = 0.4973 eV per atom
crystal system = orthorhombic

***

3.
# Fe4Sb

A relaxed structure of Fe4Sb (PBE, Alexandria).

Structure (POSCAR):
```
Fe4Sb
1.0
4.695 0.000 0.000
0.000 4.695 0.000
0.000 0.000 4.695
Fe Sb
4 1
direct
0.000 0.000 0.000
0.000 0.500 0.500
0.500 0.000 0.500
0.500 0.500 0.000
0.500 0.500 0.500
```

Results
energy relative to the lowest polymorph listed for this composition = 1415 meV/atom
uncorrected formation energy = 1.5347 eV per atom
crystal system = cubic